[1]
Ho4SN2 GGA-PBE optimized geometry; mass density = 8.94 g/cm3
1.0
-0.847 0.753 -3.355
5.678 1.982 -0.989
-0.709 -7.069 0.461
Ho S N
4 1 2
direct
0.143 0.806 0.286
0.857 0.194 0.714
0.357 0.687 0.715
0.643 0.313 0.285
0.000 0.000 0.000
0.256 0.253 0.513
0.744 0.747 0.487

[2]
Ho4SN3 GGA-PBE optimized geometry; mass density = 9.54 g/cm3
1.0
3.484 0.000 0.532
1.701 3.040 0.532
-0.057 -0.034 12.051
S Ho N
1 4 3
direct
0.000 0.000 0.000
0.614 0.614 0.158
0.871 0.871 0.387
0.386 0.386 0.842
0.129 0.129 0.613
0.753 0.753 0.741
0.500 0.500 0.500
0.247 0.247 0.259

[3]
Ho5S5N GGA-PBE optimized geometry; mass density = 7.11 g/cm3
1.0
5.405 0.000 0.000
-2.702 6.033 -0.070
0.000 -2.342 7.185
Ho S N
5 5 1
direct
0.850 0.700 0.158
0.846 0.691 0.687
0.500 0.000 0.000
0.154 0.309 0.313
0.150 0.300 0.842
0.674 0.347 0.332
0.667 0.333 0.832
0.000 0.000 0.500
0.333 0.667 0.168
0.326 0.653 0.668
0.000 0.000 0.000

Computed DFT total energy, in the same sequence as the records: -7.05 -7.75 -6.67 eV/atom.
Computed energy relative to the elements, uncorrected, in the same sequence as the records: -1.470 -1.820 -1.960 eV per atom.